## a
The following is a PBE-GGA calculation of a relaxed Ti4TlMo crystal, from the Alexandria database.

Computed properties:
DOS(E_F) ... 1.4517 states/eV per atom
M_tot ... 0.00 μB per formula unit

a = 7.837 Å, b = 4.508 Å, c = 7.576 Å
α = 90.00°, β = 110.09°, γ = 90.00°
Space group C2/m (No. 12)
Unique sites:
Ti  0.113  0.000  0.337 [4 per cell]
Ti  0.135  0.500  0.905 [4 per cell]
Tl  0.000  0.500  0.500 [2 per cell]
Mo  0.000  0.000  0.000 [2 per cell]

## b
The following is a PBE-GGA calculation of a relaxed Ti4TlMo crystal, from the Alexandria database.

Computed properties:
DOS(E_F) ... 1.2008 states/eV per atom
M_tot ... 0.00 μB per formula unit

a = 10.318 Å, b = 3.308 Å, c = 6.520 Å
α = 90.00°, β = 108.47°, γ = 90.00°
Space group C2/m (No. 12)
Unique sites:
Ti  0.161  0.000  0.354 [4 per cell]
Ti  0.168  0.000  0.807 [4 per cell]
Tl  0.000  0.500  0.000 [2 per cell]
Mo  0.000  0.500  0.500 [2 per cell]

Short version: b is the most stable of them.

## a
The following is a PBE-GGA calculation of a relaxed TiTl2Mo crystal, from the Alexandria database.

Computed properties:
DOS(E_F) ... 1.4866 states/eV per atom
M_tot ... 0.00 μB per formula unit

a = 6.771 Å, b = 6.771 Å, c = 6.771 Å
α = 90.00°, β = 90.00°, γ = 90.00°
Space group Fm-3m (No. 225)
Unique sites:
Ti  0.000  0.000  0.000 [4 per cell]
Tl  0.250  0.250  0.250 [8 per cell]
Mo  0.000  0.000  0.500 [4 per cell]

## b
The following is a PBE-GGA calculation of a relaxed TiTl2Mo crystal, from the Alexandria database.

Computed properties:
DOS(E_F) ... 0.4913 states/eV per atom
M_tot ... 0.00 μB per formula unit

a = 7.648 Å, b = 7.648 Å, c = 5.871 Å
α = 90.00°, β = 90.00°, γ = 90.00°
Space group I-42d (No. 122)
Unique sites:
Ti  0.000  0.000  0.000 [4 per cell]
Tl  0.250  0.250  0.125 [8 per cell]
Mo  0.000  0.000  0.500 [4 per cell]

Short version: a is the most stable of them.

## a
The following is a PBE-GGA calculation of a relaxed TiTlMo2 crystal, from the Alexandria database.

Computed properties:
DOS(E_F) ... 1.0247 states/eV per atom
M_tot ... 0.00 μB per formula unit

a = 3.899 Å, b = 3.899 Å, c = 20.043 Å
α = 90.00°, β = 90.00°, γ = 90.00°
Space group I-42d (No. 122)
Unique sites:
Ti  0.000  0.000  0.000 [4 per cell]
Tl  0.000  0.000  0.500 [4 per cell]
Mo  0.215  0.250  0.125 [8 per cell]

## b
The following is a PBE-GGA calculation of a relaxed TiTlMo2 crystal, from the Alexandria database.

Computed properties:
DOS(E_F) ... 1.4602 states/eV per atom
M_tot ... 0.00 μB per formula unit

a = 6.539 Å, b = 6.539 Å, c = 6.539 Å
α = 90.00°, β = 90.00°, γ = 90.00°
Space group Fm-3m (No. 225)
Unique sites:
Ti  0.000  0.000  0.000 [4 per cell]
Tl  0.000  0.000  0.500 [4 per cell]
Mo  0.250  0.250  0.250 [8 per cell]

Short version: b is the most stable of them.

## a
The following is a PBE-GGA calculation of a relaxed UTi2Mo crystal, from the Alexandria database.

Computed properties:
DOS(E_F) ... 1.9032 states/eV per atom
M_tot ... 0.00 μB per formula unit

a = 2.8266 Å, b = 2.8266 Å, c = 31.6265 Å
α = 90.00°, β = 90.00°, γ = 120.00°
Space group R-3m (No. 166, hexagonal axes)
Unique sites:
U  0.0000  0.0000  0.0000 [3 per cell]
Ti  0.0000  0.0000  0.4190 [6 per cell]
Mo  0.0000  0.0000  0.5000 [3 per cell]

## b
The following is a PBE-GGA calculation of a relaxed UTi2Mo crystal, from the Alexandria database.

Computed properties:
DOS(E_F) ... 1.9162 states/eV per atom
M_tot ... 0.49 μB per formula unit

a = 4.646 Å, b = 4.646 Å, c = 3.197 Å
α = 90.00°, β = 90.00°, γ = 90.00°
Space group P4/mmm (No. 123)
Unique sites:
U  0.000  0.000  0.000 [1 per cell]
Ti  0.000  0.500  0.500 [2 per cell]
Mo  0.500  0.500  0.000 [1 per cell]

## c
The following is a PBE-GGA calculation of a relaxed UTi2Mo crystal, from the Alexandria database.

Computed properties:
DOS(E_F) ... 1.8639 states/eV per atom
M_tot ... 2.10 μB per formula unit

a = 3.100 Å, b = 3.100 Å, c = 7.504 Å
α = 90.00°, β = 90.00°, γ = 90.00°
Space group P4/mmm (No. 123)
Unique sites:
U  0.000  0.000  0.000 [1 per cell]
Ti  0.500  0.500  0.292 [2 per cell]
Mo  0.000  0.000  0.500 [1 per cell]

Short version: c is the most stable of them.

## a
The following is a PBE-GGA calculation of a relaxed UTiMo2 crystal, from the Alexandria database.

Computed properties:
DOS(E_F) ... 1.2331 states/eV per atom
M_tot ... 0.02 μB per formula unit

a = 6.515 Å, b = 6.515 Å, c = 6.515 Å
α = 90.00°, β = 90.00°, γ = 90.00°
Space group Fm-3m (No. 225)
Unique sites:
U  0.000  0.000  0.000 [4 per cell]
Ti  0.000  0.000  0.500 [4 per cell]
Mo  0.250  0.250  0.250 [8 per cell]

## b
The following is a PBE-GGA calculation of a relaxed UTiMo2 crystal, from the Alexandria database.

Computed properties:
DOS(E_F) ... 1.8724 states/eV per atom
M_tot ... 0.00 μB per formula unit

a = 4.659 Å, b = 4.659 Å, c = 3.231 Å
α = 90.00°, β = 90.00°, γ = 90.00°
Space group P4/mmm (No. 123)
Unique sites:
U  0.000  0.000  0.000 [1 per cell]
Ti  0.500  0.500  0.000 [1 per cell]
Mo  0.000  0.500  0.500 [2 per cell]

Short version: a is the most stable of them.

## a
The following is a PBE-GGA calculation of a relaxed Ti2V2Mo3 crystal, from the Alexandria database.

Computed properties:
DOS(E_F) ... 1.6679 states/eV per atom
M_tot ... 0.76 μB per formula unit

a = 7.637 Å, b = 4.411 Å, c = 6.847 Å
α = 90.00°, β = 111.89°, γ = 90.00°
Space group C2/m (No. 12)
Unique sites:
Ti  0.074  0.000  0.222 [4 per cell]
V  0.212  0.000  0.636 [4 per cell]
Mo  0.000  0.500  0.500 [2 per cell]
Mo  0.145  0.500  0.935 [4 per cell]

## b
The following is a PBE-GGA calculation of a relaxed Ti2V2Mo3 crystal, from the Alexandria database.

Computed properties:
DOS(E_F) ... 1.1174 states/eV per atom
M_tot ... 0.00 μB per formula unit

a = 3.134 Å, b = 5.221 Å, c = 6.959 Å
α = 98.06°, β = 90.03°, γ = 107.38°
Space group P-1 (No. 2)
Unique sites:
Ti  0.068  0.136  0.206 [2 per cell]
V  0.341  0.682  0.078 [2 per cell]
Mo  0.212  0.424  0.643 [2 per cell]
Mo  0.500  0.000  0.500 [1 per cell]

Short version: b is the most stable of them.

## a
The following is a PBE-GGA calculation of a relaxed TiV6Mo2 crystal, from the Alexandria database.

Computed properties:
DOS(E_F) ... 1.4814 states/eV per atom
M_tot ... 0.00 μB per formula unit

a = 9.694 Å, b = 3.059 Å, c = 9.214 Å
α = 90.00°, β = 108.99°, γ = 90.00°
Space group C2/m (No. 12)
Unique sites:
Ti  0.000  0.000  0.000 [2 per cell]
V  0.005  0.000  0.336 [4 per cell]
V  0.164  0.500  0.557 [4 per cell]
V  0.174  0.500  0.883 [4 per cell]
Mo  0.171  0.500  0.230 [4 per cell]

## b
The following is a PBE-GGA calculation of a relaxed TiV6Mo2 crystal, from the Alexandria database.

Computed properties:
DOS(E_F) ... 1.3331 states/eV per atom
M_tot ... 0.00 μB per formula unit

a = 8.638 Å, b = 5.044 Å, c = 6.610 Å
α = 90.00°, β = 112.30°, γ = 90.00°
Space group C2/m (No. 12)
Unique sites:
Ti  0.000  0.000  0.000 [2 per cell]
V  0.056  0.259  0.698 [8 per cell]
V  0.247  0.000  0.471 [4 per cell]
Mo  0.180  0.500  0.103 [4 per cell]

Short version: a is the most stable of them.

## a
The following is a PBE-GGA calculation of a relaxed TiV6Mo3 crystal, from the Alexandria database.

Computed properties:
DOS(E_F) ... 1.4086 states/eV per atom
M_tot ... 0.00 μB per formula unit

a = 7.550 Å, b = 4.323 Å, c = 9.202 Å
α = 90.00°, β = 105.37°, γ = 90.00°
Space group P2_1/m (No. 11)
Unique sites:
Ti  0.049  0.250  0.399 [2 per cell]
V  0.051  0.750  0.904 [2 per cell]
V  0.145  0.750  0.209 [2 per cell]
V  0.160  0.250  0.710 [2 per cell]
V  0.262  0.750  0.503 [2 per cell]
V  0.350  0.250  0.297 [2 per cell]
V  0.448  0.750  0.099 [2 per cell]
Mo  0.245  0.250  0.005 [2 per cell]
Mo  0.348  0.750  0.802 [2 per cell]
Mo  0.450  0.250  0.601 [2 per cell]

## b
The following is a PBE-GGA calculation of a relaxed TiV6Mo3 crystal, from the Alexandria database.

Computed properties:
DOS(E_F) ... 0.9937 states/eV per atom
M_tot ... 0.00 μB per formula unit

a = 8.338 Å, b = 14.361 Å, c = 5.072 Å
α = 90.00°, β = 90.00°, γ = 90.00°
Space group Cmcm (No. 63)
Unique sites:
Ti  0.000  0.169  0.250 [4 per cell]
V  0.000  0.000  0.000 [4 per cell]
V  0.000  0.284  0.750 [4 per cell]
V  0.186  0.434  0.750 [8 per cell]
V  0.250  0.250  0.000 [8 per cell]
Mo  0.000  0.376  0.250 [4 per cell]
Mo  0.171  0.111  0.750 [8 per cell]

Short version: a is the most stable of them.